(1)
Below is a geometry-optimized Eu2ThP structure, with properties calculated at the PBE-GGA level.

Total energy   -8.61 eV per atom
M_tot   3.463 μB/atom
Formation energy from the elements   -263 meV per atom
ρ   6990 kg/m3
N(E_F)   3.5 states/eV/cell

Lattice parameters (Å, degrees): 3.787 3.787 11.062 80.14 80.14 60.00
Atoms (fractional coordinates):
P  0.500  0.500  0.500
Eu  0.112  0.112  0.663
Eu  0.888  0.888  0.337
Th  0.000  0.000  0.000


(2)
Below is a geometry-optimized Cs2SnI6O structure, with properties calculated at the PBE-GGA level.

Raw formation energy   -61 kJ/mol of atoms
Total energy   -2.63 eV per atom
M_tot   0.000 μB/atom
ρ   4652 kg/m3
N(E_F)   4.1 states/eV/cell

Lattice parameters (Å, degrees): 7.748 7.748 8.818 63.94 63.94 90.00
Atoms (fractional coordinates):
O  0.500  0.500  0.000
I  0.273  0.727  0.000
Cs  0.250  0.750  0.500
Cs  0.750  0.250  0.500
I  0.727  0.273  0.000
Sn  0.000  0.000  0.000
I  0.778  0.778  0.444
I  0.273  0.273  0.000
I  0.727  0.727  0.000
I  0.222  0.222  0.556


(3)
Below is a geometry-optimized TlSi2Mo structure, with properties calculated at the PBE-GGA level.

Raw formation energy   34 kJ/mol of atoms
Total energy   -5.66 eV per atom
M_tot   0.000 μB/atom
Energy relative to the lowest polymorph listed for this composition   195 meV/atom
ρ   8196 kg/m3
N(E_F)   2.2 states/eV/cell

Lattice parameters (Å, degrees): 4.243 3.482 5.197 70.18 90.00 90.00
Atoms (fractional coordinates):
Si  0.000  0.800  0.024
Tl  0.000  0.538  0.552
Si  0.500  0.232  0.160
Mo  0.500  0.930  0.764


(4)
Below is a geometry-optimized B2C3 structure, with properties calculated at the PBE-GGA level.

Total energy   -7.93 eV per atom
M_tot   0.000 μB/atom
Energy relative to the lowest polymorph listed for this composition   42 meV/atom
Formation energy from the elements   278 meV per atom
ρ   2559 kg/m3
N(E_F)   1.7 states/eV/cell

Lattice parameters (Å, degrees): 12.426 12.426 12.426 12.23 12.23 12.23
Atoms (fractional coordinates):
B  0.275  0.275  0.275
B  0.175  0.175  0.175
B  0.793  0.793  0.793
C  0.440  0.440  0.440
C  0.006  0.006  0.006
B  0.050  0.050  0.050
C  0.837  0.837  0.837
C  0.659  0.659  0.659
C  0.402  0.402  0.402
C  0.614  0.614  0.614


(5)
Below is a geometry-optimized Er3Sn7 structure, with properties calculated at the PBE-GGA level.

Total energy   -4.68 eV per atom
M_tot   0.000 μB/atom
Formation energy from the elements   -508 meV per atom
ρ   8594 kg/m3
N(E_F)   3.3 states/eV/cell

Lattice parameters (Å, degrees): 13.397 13.397 4.420 90.00 90.00 161.06
Atoms (fractional coordinates):
Sn  0.903  0.097  0.000
Sn  0.097  0.903  0.000
Sn  0.789  0.211  0.500
Er  0.000  0.000  0.500
Er  0.310  0.690  0.000
Er  0.690  0.310  0.000
Sn  0.598  0.402  0.500
Sn  0.211  0.789  0.500
Sn  0.402  0.598  0.500
Sn  0.500  0.500  0.000


(6)
Below is a geometry-optimized MgSe2BrCl structure, with properties calculated at the PBE-GGA level.

Raw formation energy   5 kJ/mol of atoms
Total energy   -2.37 eV per atom
M_tot   0.765 μB/atom
Energy relative to the lowest polymorph listed for this composition   0 meV/atom
ρ   3342 kg/m3
N(E_F)   4.5 states/eV/cell

Lattice parameters (Å, degrees): 5.419 5.419 5.036 90.00 90.00 90.00
Atoms (fractional coordinates):
Cl  0.500  0.500  0.500
Mg  0.000  0.000  0.000
Se  0.500  0.000  0.000
Br  0.000  0.000  0.500
Se  0.000  0.500  0.000


(7)
Below is a geometry-optimized LiAc3Hg4 structure, with properties calculated at the PBE-GGA level.

Total energy   -2.37 eV per atom
M_tot   0.000 μB/atom
Formation energy from the elements   -435 meV per atom
ρ   10029 kg/m3
N(E_F)   5.7 states/eV/cell

Lattice parameters (Å, degrees): 5.549 5.549 9.792 73.54 73.54 60.00
Atoms (fractional coordinates):
Hg  0.626  0.626  0.122
Hg  0.122  0.122  0.634
Li  0.000  0.000  0.000
Ac  0.500  0.500  0.500
Hg  0.374  0.374  0.878
Ac  0.256  0.256  0.231
Ac  0.744  0.744  0.769
Hg  0.878  0.878  0.366


(8)
Below is a geometry-optimized ZrTl2InCl8 structure, with properties calculated at the PBE-GGA level.

Raw formation energy   -125 kJ/mol of atoms
Total energy   -3.86 eV per atom
M_tot   0.000 μB/atom
ρ   3737 kg/m3
N(E_F)   3.6 states/eV/cell

Lattice parameters (Å, degrees): 7.263 6.642 8.278 89.93 90.06 91.70
Atoms (fractional coordinates):
Tl  0.500  0.500  0.750
In  0.000  0.000  0.500
Cl  0.880  0.218  0.776
Cl  0.880  0.218  0.224
Cl  0.120  0.782  0.776
Cl  0.705  0.807  0.000
Zr  0.000  0.000  0.000
Cl  0.300  0.228  0.500
Cl  0.120  0.782  0.224
Cl  0.295  0.193  0.000
Cl  0.700  0.772  0.500
Tl  0.500  0.500  0.250


(9)
Below is a geometry-optimized NdDy2ReO8 structure, with properties calculated at the PBE-GGA level.

Raw formation energy   -266 kJ/mol of atoms
Total energy   -8.26 eV per atom
M_tot   0.000 μB/atom
ρ   7337 kg/m3

Lattice parameters (Å, degrees): 5.081 5.079 6.870 90.00 90.00 89.75
Atoms (fractional coordinates):
Dy  0.500  0.500  0.749
O  0.183  0.816  0.799
O  0.735  0.736  0.000
Dy  0.500  0.500  0.251
Re  0.000  0.000  0.000
O  0.684  0.685  0.500
O  0.817  0.184  0.201
O  0.316  0.315  0.500
O  0.265  0.264  0.000
O  0.817  0.184  0.799
Nd  0.000  0.000  0.500
O  0.183  0.816  0.201


(10)
Below is a geometry-optimized UCoSi2Tc structure, with properties calculated at the PBE-GGA level.

Raw formation energy   -49 kJ/mol of atoms
Total energy   -8.43 eV per atom
M_tot   0.305 μB/atom
ρ   9483 kg/m3
N(E_F)   5.4 states/eV/cell

Lattice parameters (Å, degrees): 4.063 4.063 5.582 111.34 111.34 90.00
Atoms (fractional coordinates):
Si  0.625  0.625  0.251
Si  0.375  0.375  0.749
Co  0.250  0.750  0.500
Tc  0.750  0.250  0.500
U  0.000  0.000  0.000


(11)
Below is a geometry-optimized Tb2ZrSc3 structure, with properties calculated at the PBE-GGA level.

Total energy   -5.96 eV per atom
M_tot   0.000 μB/atom
Formation energy from the elements   176 meV per atom
ρ   5663 kg/m3
N(E_F)   19.2 states/eV/cell

Lattice parameters (Å, degrees): 3.239 8.486 12.158 77.72 82.35 79.00
Atoms (fractional coordinates):
Sc  0.596  0.839  0.969
Sc  0.963  0.862  0.211
Zr  0.436  0.487  0.640
Sc  0.741  0.809  0.708
Tb  0.350  0.834  0.466
Sc  0.404  0.161  0.031
Zr  0.564  0.513  0.360
Tb  0.824  0.475  0.877
Sc  0.037  0.138  0.789
Sc  0.259  0.191  0.292
Tb  0.650  0.166  0.534
Tb  0.176  0.525  0.123


(12)
Below is a geometry-optimized Ce5PuSe6 structure, with properties calculated at the PBE-GGA level.

Raw formation energy   -171 kJ/mol of atoms
Total energy   -7.18 eV per atom
M_tot   0.854 μB/atom
ρ   7541 kg/m3
N(E_F)   35.9 states/eV/cell

Lattice parameters (Å, degrees): 7.261 7.255 7.260 60.02 80.40 70.50
Atoms (fractional coordinates):
Se  0.249  0.247  0.000
Pu  0.000  0.000  0.000
Ce  0.500  0.832  0.336
Ce  0.000  0.334  0.333
Ce  0.500  0.500  0.000
Se  0.753  0.082  0.330
Se  0.753  0.412  0.670
Ce  0.000  0.666  0.667
Se  0.247  0.918  0.670
Se  0.751  0.753  0.000
Ce  0.500  0.168  0.664
Se  0.247  0.588  0.330


- Number 8 is which compound?
  ZrTl2InCl8